Entry 1:
Density functional theory data (GGA-PBE) for crystalline LaYTc2 at its relaxed geometry.

Summary:
formation enthalpy at 0 K: 0.3541 eV/atom
energy above the lowest structure with this stoichiometry: 317 meV per atom
V: 21.105 Å³/atom

Geometry as extended XYZ:
```
4
Lattice="-2.468 -0.873 -3.570 2.528 -1.292 -1.432 -0.543 -5.806 1.795" Properties=species:S:1:pos:R:3 pbc="T T T"
La 0.254 -5.760 -1.512
Tc 1.112 -3.903 0.186
Y -0.738 -2.211 -1.694
Tc 1.866 -6.743 0.359
```

Entry 2:
Density functional theory data (GGA-PBE) for crystalline LaYTc4 at its relaxed geometry.

Summary:
formation enthalpy at 0 K: 0.0243 eV/atom
V: 19.372 Å³/atom

Geometry as extended XYZ:
```
6
Lattice="0.000 3.873 3.873 3.873 0.000 3.873 3.873 3.873 0.000" Properties=species:S:1:pos:R:3 pbc="T T T"
Tc 2.907 4.840 4.840
Tc 2.907 2.907 2.907
La 0.000 0.000 0.000
Y 5.810 5.810 5.810
Tc 4.840 4.840 2.907
Tc 4.840 2.907 4.840
```

Entry 3:
Density functional theory data (GGA-PBE) for crystalline LaY2Tc at its relaxed geometry.

Summary:
formation enthalpy at 0 K: 0.0439 eV/atom
energy above the lowest structure with this stoichiometry: 136 meV per atom
V: 28.197 Å³/atom

Geometry as extended XYZ:
```
4
Lattice="3.477 0.045 0.000 -0.065 3.476 0.000 0.000 0.000 9.329" Properties=species:S:1:pos:R:3 pbc="T T T"
Y 0.000 0.000 5.343
La 1.706 1.761 2.332
Y 0.000 0.000 8.650
Tc 1.706 1.761 6.997
```

Entry 4:
Density functional theory data (GGA-PBE) for crystalline La2Y2Tc at its relaxed geometry.

Summary:
formation enthalpy at 0 K: 0.2588 eV/atom
energy above the lowest structure with this stoichiometry: 0 meV per atom
V: 29.941 Å³/atom

Geometry as extended XYZ:
```
10
Lattice="7.154 0.000 0.000 0.000 7.154 0.000 0.000 0.000 5.850" Properties=species:S:1:pos:R:3 pbc="T T T"
La 4.737 1.160 0.000
Y 4.800 5.930 2.925
Y 1.223 4.800 2.925
La 2.417 5.993 0.000
La 5.993 4.737 0.000
La 1.160 2.417 0.000
Tc 0.000 0.000 0.000
Y 2.353 1.223 2.925
Y 5.930 2.353 2.925
Tc 3.577 3.577 0.000
```

Entry 5:
Density functional theory data (GGA-PBE) for crystalline LaYTc2 at its relaxed geometry.

Summary:
formation enthalpy at 0 K: 0.0375 eV/atom
energy above the lowest structure with this stoichiometry: 0 meV per atom
V: 27.632 Å³/atom

Geometry as extended XYZ:
```
4
Lattice="-4.245 1.732 -6.322 -2.372 -1.857 -7.205 -5.808 -1.828 -4.891" Properties=species:S:1:pos:R:3 pbc="T T T"
Y -6.651 -1.046 -9.859
Tc -3.451 -0.543 -5.116
La -8.937 -1.405 -13.249
Tc -12.023 -1.891 -17.822
```

Entry 6:
Density functional theory data (GGA-PBE) for crystalline LaYTc2 at its relaxed geometry.

Summary:
formation enthalpy at 0 K: 0.3006 eV/atom
energy above the lowest structure with this stoichiometry: 263 meV per atom
V: 21.033 Å³/atom

Geometry as extended XYZ:
```
4
Lattice="3.481 0.000 0.000 0.000 3.481 0.000 0.000 0.000 6.945" Properties=species:S:1:pos:R:3 pbc="T T T"
Y 1.740 1.740 1.736
Tc 0.000 0.000 6.866
Tc 0.000 0.000 3.551
La 1.740 1.740 5.209
```

Entry 7:
Density functional theory data (GGA-PBE) for crystalline LaY2Tc at its relaxed geometry.

Summary:
formation enthalpy at 0 K: 0.2829 eV/atom
energy above the lowest structure with this stoichiometry: 375 meV per atom
V: 25.747 Å³/atom

Geometry as extended XYZ:
```
4
Lattice="-4.629 -2.478 0.824 -0.897 -0.687 -5.193 4.502 -1.626 2.308" Properties=species:S:1:pos:R:3 pbc="T T T"
Y 0.421 -1.948 -2.535
Tc -1.445 -2.843 0.474
Y 0.000 0.000 0.000
La -2.763 -1.582 -2.184
```

Entry 8:
Density functional theory data (GGA-PBE) for crystalline LaY2Tc at its relaxed geometry.

Summary:
formation enthalpy at 0 K: 0.2422 eV/atom
energy above the lowest structure with this stoichiometry: 334 meV per atom
V: 28.084 Å³/atom

Geometry as extended XYZ:
```
4
Lattice="10.332 -0.012 -0.007 9.716 3.514 -0.007 9.716 1.697 3.077" Properties=species:S:1:pos:R:3 pbc="T T T"
La 14.337 2.505 1.475
Tc 22.352 3.905 2.300
Y 7.473 1.305 0.769
Y 0.486 0.085 0.050
```

- The highest V belongs to which entry?
  La2Y2Tc

- What is the V in the seventh record?
  25.747 Å³/atom